! PBE Sr2MoW, optimized geometry; values from VASP
&SYSTEM
  ibrav = 0, nat = 4, ntyp = 3
/
ATOMIC_SPECIES
Mo 95.94 Mo.upf
Sr 87.62 Sr.upf
W 183.84 W.upf
CELL_PARAMETERS angstrom
-5.362 3.066 0.073
-5.455 -2.595 1.290
5.788 0.362 2.126
ATOMIC_POSITIONS angstrom
Mo -2.491 1.832 1.440
Sr 0.000 0.000 0.000
Sr -5.409 0.236 0.681
W -2.538 -0.999 2.049
! Offset from the most stable computed form: 2.86 eV per formula unit
! Formation enthalpy at 0 K: 508 kJ/mol of formula units
! Space group: I4/mmm, No. 139
! Total magnetization: 0.0 Bohr magnetons per cell

=====

! PBE Sr2MoW, optimized geometry; values from VASP
&SYSTEM
  ibrav = 0, nat = 4, ntyp = 3
/
ATOMIC_SPECIES
Mo 95.94 Mo.upf
Sr 87.62 Sr.upf
W 183.84 W.upf
CELL_PARAMETERS angstrom
2.894 0.000 0.000
0.000 2.894 0.000
0.000 0.000 10.919
ATOMIC_POSITIONS angstrom
Mo 1.447 1.447 8.189
Sr 0.000 0.000 0.004
Sr 0.000 0.000 5.456
W 1.447 1.447 2.730
! Offset from the most stable computed form: 2.80 eV per formula unit
! Formation enthalpy at 0 K: 502 kJ/mol of formula units
! Space group: P4/mmm, No. 123
! Total magnetization: 0.0 Bohr magnetons per cell

=====

Repeat the first record exactly.
! PBE Sr2MoW, optimized geometry; values from VASP
&SYSTEM
  ibrav = 0, nat = 4, ntyp = 3
/
ATOMIC_SPECIES
Mo 95.94 Mo.upf
Sr 87.62 Sr.upf
W 183.84 W.upf
CELL_PARAMETERS angstrom
-5.362 3.066 0.073
-5.455 -2.595 1.290
5.788 0.362 2.126
ATOMIC_POSITIONS angstrom
Mo -2.491 1.832 1.440
Sr 0.000 0.000 0.000
Sr -5.409 0.236 0.681
W -2.538 -0.999 2.049
! Offset from the most stable computed form: 2.86 eV per formula unit
! Formation enthalpy at 0 K: 508 kJ/mol of formula units
! Space group: I4/mmm, No. 139
! Total magnetization: 0.0 Bohr magnetons per cell

=====

> Which formula does entry 2 have?

Sr2MoW

=====

> What is the formation enthalpy at 0 K in the first record?

508 kJ/mol of formula units